Computed, not measured: a geometry-optimized AsPb2I structure at the GGA-PBE level of DFT.

a = 8.247 Å, b = 8.247 Å, c = 8.247 Å
α = 31.38°, β = 31.38°, γ = 31.38°
Element x y z (fractional)
As  0.000  0.000  0.000
Pb  0.267  0.267  0.267
Pb  0.733  0.733  0.733
I  0.500  0.500  0.500

Computed properties:
offset from the most stable computed form	0	meV/atom
total moment	0.0	Bohr magnetons per cell
formation energy (no corrections)	-0.29	eV per atom
space-group type	R-3m (166)
total DFT energy (no corrections)	-14.79	eV/cell